DFT (PBE) results for an optimized crystal structure of Ce3IrCl3.

D(E_F): 74.5 states/eV/cell
Total energy: -6.127 eV per atom
Space group: I4_132, No. 214
ΔE_f (raw): -1527 meV/atom

abc: 10.128 10.128 10.128
angles: 109.47 109.47 109.47
Last column: magnetic moment on the atom in μB.
Fractional positions:
Ce: 0.250 0.010 0.490  0.92
Ce: 0.760 0.010 0.020  0.92
Ir: 0.000 0.000 0.250  -0.05
Ce: 0.250 0.240 0.260  0.92
Cl: 0.497 0.995 0.747  -0.01
Ir: 0.750 0.500 0.000  -0.05
Ir: 0.500 0.250 0.500  -0.05
Ce: 0.990 0.240 0.480  0.92
Cl: 0.495 0.747 0.997  -0.01
Ce: 0.740 0.260 0.750  0.92
Cl: 0.247 0.997 0.995  -0.01
Cl: 0.005 0.503 0.753  -0.01
Ce: 0.520 0.260 0.010  0.92
Cl: 0.253 0.747 0.250  -0.01
Ce: 0.760 0.750 0.240  0.92
Cl: 0.003 0.250 0.997  -0.01
Cl: 0.253 0.505 0.503  -0.01
Ce: 0.510 0.020 0.260  0.92
Cl: 0.247 0.250 0.753  -0.01
Cl: 0.497 0.503 0.250  -0.01
Ce: 0.990 0.750 0.010  0.92
Ir: 0.750 0.250 0.250  -0.05
Cl: 0.003 0.753 0.505  -0.01
Cl: 0.750 0.997 0.503  -0.01
Cl: 0.750 0.753 0.747  -0.01
Ce: 0.980 0.490 0.240  0.92
Ce: 0.510 0.490 0.750  0.92
Ce: 0.740 0.480 0.490  0.92